{"formula": "Mg2ClF", "functional": "PBE", "state": "relaxed", "lattice": [[0.0000, 3.3602, 3.3602], [3.3602, 0.0000, 3.3602], [3.3602, 3.3602, 0.0000]], "species": ["Mg", "Mg", "F", "Cl"], "fractional_positions": [[0.2500, 0.2500, 0.2500], [0.7500, 0.7500, 0.7500], [0.0000, 0.0000, 0.0000], [0.5000, 0.5000, 0.5000]], "density_g_cm3": 2.26, "polymorph_energy_mev_per_atom": 452, "total_energy_ev_per_atom": -2.687, "crystal_system": "cubic", "spacegroup": "No. 225"}

{"formula": "Al2TcBiO8", "functional": "PBE", "state": "relaxed", "lattice": [[4.5962, -0.0129, -0.0029], [0.0174, 4.5977, -0.0050], [0.0041, 0.0068, 6.2658]], "species": ["Al", "Al", "Tc", "Bi", "O", "O", "O", "O", "O", "O", "O", "O"], "fractional_positions": [[0.5000, 0.5000, 0.7529], [0.5000, 0.5000, 0.2471], [0.0000, 0.0000, 0.0000], [0.0000, 0.0000, 0.5000], [0.2082, 0.7923, 0.2227], [0.7005, 0.7001, 0.0000], [0.7918, 0.2077, 0.2227], [0.7918, 0.2077, 0.7773], [0.2995, 0.2999, 0.0000], [0.2082, 0.7923, 0.7773], [0.6722, 0.6717, 0.5000], [0.3278, 0.3283, 0.5000]], "density_g_cm3": 6.13, "total_energy_ev_per_atom": -6.959, "crystal_system": "orthorhombic", "spacegroup": "No. 65"}

{"formula": "Ac7Cd2In2", "functional": "PBE", "state": "relaxed", "lattice": [[7.3329, -0.0033, -1.1348], [0.0031, 8.6562, 0.0046], [-1.5895, -0.0019, 7.2479]], "species": ["Ac", "Ac", "Ac", "Ac", "Ac", "Ac", "Ac", "Cd", "Cd", "In", "In"], "fractional_positions": [[0.9998, 0.2903, 0.5003], [0.5003, 0.7097, 0.9998], [0.0002, 0.7097, 0.4997], [0.4997, 0.2903, 0.0002], [0.0000, 0.0000, 0.0000], [0.5002, 0.7464, 0.4998], [0.4998, 0.2536, 0.5002], [0.7116, 0.9999, 0.2884], [0.2884, 0.0001, 0.7116], [0.8272, 0.5000, 0.8272], [0.1728, 0.5000, 0.1728]], "density_g_cm3": 7.63, "formation_energy_ev_per_fu": -0.30, "total_energy_ev_per_atom": -3.306, "crystal_system": "orthorhombic", "spacegroup": "No. 65"}

{"formula": "Na2RhPb", "functional": "PBE", "state": "relaxed", "lattice": [[4.0219, 0.0000, 0.0000], [0.0000, 4.0219, 0.0000], [2.0110, 2.0110, 11.0766]], "species": ["Pb", "Pb", "Na", "Na", "Na", "Na", "Rh", "Rh"], "fractional_positions": [[0.0000, 0.0000, 0.0000], [0.7500, 0.2500, 0.5000], [0.6083, 0.1250, 0.2500], [0.1417, 0.6250, 0.2500], [0.3750, 0.3917, 0.7500], [0.8750, 0.8583, 0.7500], [0.5000, 0.5000, 0.0000], [0.2500, 0.7500, 0.5000]], "density_g_cm3": 6.60, "formation_energy_ev_per_fu": 0.72, "total_energy_ev_per_atom": -3.244, "crystal_system": "tetragonal", "spacegroup": "No. 122"}

{"formula": "YIn3Br", "functional": "PBE", "state": "relaxed", "lattice": [[-3.3741, -1.2589, -4.2735], [4.3425, -2.1270, -2.8020], [-0.9953, -5.0124, 2.2623]], "species": ["Y", "Br", "In", "In", "In"], "fractional_positions": [[0.5000, 0.5000, 0.5000], [0.0000, 0.0000, 0.0000], [0.0000, 0.5000, 0.0000], [0.0000, 0.0000, 0.5000], [0.5000, 0.0000, 0.0000]], "density_g_cm3": 4.88, "polymorph_energy_mev_per_atom": 0, "total_energy_ev_per_atom": -2.979, "crystal_system": "cubic", "spacegroup": "No. 221"}

{"formula": "Ac4Mg2Ir", "functional": "PBE", "state": "relaxed", "lattice": [[5.7888, 0.0000, 0.0000], [0.0000, 5.7888, 0.0000], [-2.8944, -2.8944, 8.6104]], "species": ["Ac", "Ac", "Ac", "Ac", "Ir", "Mg", "Mg"], "fractional_positions": [[0.8264, 0.8264, 0.6527], [0.1736, 0.1736, 0.3473], [0.0000, 0.5000, 0.0000], [0.5000, 0.0000, 0.0000], [0.0000, 0.0000, 0.0000], [0.6256, 0.6256, 0.2512], [0.3744, 0.3744, 0.7488]], "density_g_cm3": 6.61, "formation_energy_ev_per_fu": -0.68, "total_energy_ev_per_atom": -4.166, "crystal_system": "tetragonal", "spacegroup": "No. 139"}

{"formula": "BeCdCl2", "functional": "PBE", "state": "relaxed", "lattice": [[4.8395, 0.0175, 0.0000], [-0.0256, 4.8399, 0.0000], [0.0000, 0.0000, 3.4920]], "species": ["Be", "Cl", "Cl", "Cd"], "fractional_positions": [[0.5000, 0.0000, 0.5000], [0.0000, 0.0000, 0.0000], [0.5000, 0.5000, 0.0000], [0.0000, 0.5000, 0.5000]], "density_g_cm3": 3.90, "polymorph_energy_mev_per_atom": 1174, "total_energy_ev_per_atom": -1.815, "crystal_system": "orthorhombic", "spacegroup": "No. 65"}

{"formula": "HoTiSi2Tc", "functional": "PBE", "state": "relaxed", "lattice": [[3.9289, 0.0000, 0.0000], [0.0000, 3.9289, 0.0000], [-1.9644, -1.9644, 5.5821]], "species": ["Ho", "Ti", "Si", "Si", "Tc"], "fractional_positions": [[0.0000, 0.0000, 0.0000], [0.2500, 0.7500, 0.5000], [0.6067, 0.6067, 0.2133], [0.3933, 0.3933, 0.7867], [0.7500, 0.2500, 0.5000]], "density_g_cm3": 7.07, "total_energy_ev_per_atom": -7.502, "crystal_system": "tetragonal", "spacegroup": "No. 119"}